Material: MgAuN2
Method: DFT, PBE
State: optimized geometry

The structure in POSCAR format:
```
MgAuN2
1.0
1.9216 0.0000 6.0464
-0.9608 1.6641 6.0464
-0.9608 -1.6641 6.0464
Mg Au N
1 1 2
Cartesian
0.0000 0.0000 0.0000 Mg
0.0000 0.0000 9.0696 Au
0.0000 0.0000 16.1160 N
0.0000 0.0000 2.0232 N
```

Results
formation energy without anion corrections = 4.04 eV per formula unit
Fermi-level density of states = 0.6102 states/eV/atom
space-group type = R-3m, No. 166
DFT total energy = -17.48 eV/cell
ρ = 7.136 g cm⁻³
total magnetization = 0.00 μB per cell